# NaLiCl2 (SCAN, PBEsol geometry)
data_NaLiCl2
_chemical_formula_sum 'Na2 Li2 Cl4'
_space_group_name_H-M_alt 'P 1'
_space_group_IT_number 1
_cell_length_a 6.237
_cell_length_b 6.237
_cell_length_c 6.237
_cell_angle_alpha 117.46
_cell_angle_beta 117.46
_cell_angle_gamma 94.46
loop_
_space_group_symop_operation_xyz
'x,y,z'
loop_
_atom_site_label
_atom_site_fract_x
_atom_site_fract_y
_atom_site_fract_z
Na1 0.000 0.000 0.000
Na2 0.750 0.250 0.500
Li1 0.250 0.750 0.500
Li2 0.500 0.500 0.000
Cl1 0.165 0.125 0.540
Cl2 0.375 0.835 0.960
Cl3 0.585 0.625 0.460
Cl4 0.875 0.415 0.040
# Raw formation energy ... -1.97 eV per atom
# E ... -7.608 eV/atom
# SG ... No. 122


# FeCoRh2 (SCAN, PBEsol geometry)
data_FeCoRh2
_chemical_formula_sum 'Fe1 Co1 Rh2'
_space_group_name_H-M_alt 'P 1'
_space_group_IT_number 1
_cell_length_a 2.627
_cell_length_b 2.627
_cell_length_c 7.067
_cell_angle_alpha 90.00
_cell_angle_beta 90.00
_cell_angle_gamma 90.00
loop_
_space_group_symop_operation_xyz
'x,y,z'
loop_
_atom_site_label
_atom_site_fract_x
_atom_site_fract_y
_atom_site_fract_z
Fe1 0.000 0.000 0.000
Co1 0.500 0.500 0.772
Rh1 0.000 0.000 0.526
Rh2 0.500 0.500 0.253
# ΔH_f (0 K) ... 0.2 kJ per mole of atoms
# E ... -25.742 eV/atom
# SG ... No. 99


# CaLa2CrO6 (SCAN, PBEsol geometry)
data_CaLa2CrO6
_chemical_formula_sum 'Ca1 La2 Cr1 O6'
_space_group_name_H-M_alt 'P 1'
_space_group_IT_number 1
_cell_length_a 5.568
_cell_length_b 5.568
_cell_length_c 5.568
_cell_angle_alpha 62.51
_cell_angle_beta 62.51
_cell_angle_gamma 62.51
loop_
_space_group_symop_operation_xyz
'x,y,z'
loop_
_atom_site_label
_atom_site_fract_x
_atom_site_fract_y
_atom_site_fract_z
Ca1 0.000 0.000 0.000
La1 0.260 0.260 0.260
La2 0.740 0.740 0.740
Cr1 0.500 0.500 0.500
O1 0.178 0.364 0.712
O2 0.288 0.822 0.636
O3 0.364 0.712 0.178
O4 0.636 0.288 0.822
O5 0.712 0.178 0.364
O6 0.822 0.636 0.288
# Raw formation energy ... -3.22 eV per atom
# E ... -18.386 eV/atom
# SG ... No. 148


# Sr2CuIr (SCAN, PBEsol geometry)
data_Sr2CuIr
_chemical_formula_sum 'Sr2 Cu1 Ir1'
_space_group_name_H-M_alt 'P 1'
_space_group_IT_number 1
_cell_length_a 8.047
_cell_length_b 8.047
_cell_length_c 8.047
_cell_angle_alpha 30.60
_cell_angle_beta 30.60
_cell_angle_gamma 30.60
loop_
_space_group_symop_operation_xyz
'x,y,z'
loop_
_atom_site_label
_atom_site_fract_x
_atom_site_fract_y
_atom_site_fract_z
Sr1 0.000 0.000 0.000
Sr2 0.167 0.167 0.167
Cu1 0.750 0.750 0.750
Ir1 0.417 0.417 0.417
# ΔH_f (0 K) ... -22.6 kJ per mole of atoms
# E ... -32.946 eV/atom
# SG ... No. 160


# Ba3Bi2F12 (SCAN, PBEsol geometry)
data_Ba3Bi2F12
_chemical_formula_sum 'Ba3 Bi2 F12'
_space_group_name_H-M_alt 'P 1'
_space_group_IT_number 1
_cell_length_a 4.326
_cell_length_b 4.342
_cell_length_c 17.549
_cell_angle_alpha 91.56
_cell_angle_beta 94.76
_cell_angle_gamma 118.90
loop_
_space_group_symop_operation_xyz
'x,y,z'
loop_
_atom_site_label
_atom_site_fract_x
_atom_site_fract_y
_atom_site_fract_z
Ba1 0.000 0.000 0.000
Ba2 0.228 0.590 0.795
Ba3 0.458 0.186 0.589
Bi1 0.766 0.901 0.405
Bi2 0.811 0.481 0.203
F1 0.030 0.397 0.471
F2 0.035 0.923 0.290
F3 0.035 0.984 0.147
F4 0.151 0.539 0.645
F5 0.309 0.645 0.951
F6 0.334 0.052 0.436
F7 0.395 0.663 0.208
F8 0.537 0.237 0.744
F9 0.694 0.352 0.060
F10 0.758 0.815 0.537
F11 0.764 0.307 0.328
F12 0.920 0.945 0.848
# Raw formation energy ... -3.30 eV per atom
# E ... -22.019 eV/atom
# SG ... No. 1


# Ag2PtAu (SCAN, PBEsol geometry)
data_Ag2PtAu
_chemical_formula_sum 'Ag2 Pt1 Au1'
_space_group_name_H-M_alt 'P 1'
_space_group_IT_number 1
_cell_length_a 2.791
_cell_length_b 4.054
_cell_length_c 5.696
_cell_angle_alpha 90.00
_cell_angle_beta 90.00
_cell_angle_gamma 90.00
loop_
_space_group_symop_operation_xyz
'x,y,z'
loop_
_atom_site_label
_atom_site_fract_x
_atom_site_fract_y
_atom_site_fract_z
Ag1 0.000 0.000 0.000
Ag2 0.500 0.500 0.251
Pt1 0.500 0.500 0.753
Au1 0.000 0.000 0.506
# ΔE to the lowest computed polymorph ... 46.0 meV per atom
# ΔH_f (0 K) ... -0.7 kJ per mole of atoms
# E ... -50.528 eV/atom
# SG ... No. 25


Q: Which of these has the highest E?
A: NaLiCl2


Q: Which value of E does entry 3 give?
A: -18.386 eV/atom


Q: The highest E belongs to which entry?
A: NaLiCl2


Q: Among the records above, which one has the highest E?
A: NaLiCl2